1.
Mg2SnPb2 | Alexandria via LeMat-Bulk | GGA-PBE | optimized geometry; excess energy over the best structure of this formula in the dataset = 57 meV per atom; ΔH_f (0 K) = 17.8 meV per atom
1.0
9.063 0.000 0.000
0.000 9.063 0.000
0.000 0.000 3.313
Pb Mg Sn
4 4 2
direct
0.339 0.839 0.000
0.839 0.661 0.000
0.661 0.161 0.000
0.161 0.339 0.000
0.136 0.636 0.500
0.636 0.864 0.500
0.864 0.364 0.500
0.364 0.136 0.500
0.000 0.000 0.000
0.500 0.500 0.000

---

2.
Mg2Sn2Pb | Alexandria via LeMat-Bulk | GGA-PBE | optimized geometry; excess energy over the best structure of this formula in the dataset = 75 meV per atom; ΔH_f (0 K) = -2.3 meV per atom
1.0
3.312 0.000 -0.911
0.000 3.366 0.000
1.466 0.000 11.812
Mg Sn Pb
2 2 1
direct
0.110 0.500 0.219
0.890 0.500 0.781
0.306 0.000 0.613
0.694 0.000 0.387
0.000 0.000 0.000